# 1
Material: La
Method: DFT, meta-GGA SCAN
State: PBEsol geometry

Unit cell a=3.648 b=3.648 c=5.953 alpha=90.00 beta=90.00 gamma=120.00
Sites, in units of the cell vectors:
1 La 0.333 0.667 0.250
2 La 0.667 0.333 0.750

Values from the calculation:
energy relative to the elements: 0.0332 eV per atom
mass density: 6.7 g/cm³
E above lowest polymorph: 3.2 kJ/mol of formula units

=====

# 2
Material: LiLa
Method: DFT, meta-GGA SCAN
State: PBEsol geometry

Unit cell a=3.560 b=3.560 c=8.491 alpha=90.00 beta=90.00 gamma=90.00
Sites, in units of the cell vectors:
1 La 0.500 0.000 0.141
2 La 0.000 0.500 0.859
3 Li 0.500 0.000 0.582
4 Li 0.000 0.500 0.418

Values from the calculation:
energy relative to the elements: 0.0428 eV per atom
mass density: 4.5 g/cm³
E above lowest polymorph: 0.0 kJ/mol of formula units

=====

# 3
Material: LiLa
Method: DFT, meta-GGA SCAN
State: PBEsol geometry

Unit cell a=3.352 b=4.720 c=6.805 alpha=90.00 beta=104.26 gamma=90.00
Sites, in units of the cell vectors:
1 La 0.569 0.750 0.137
2 La 0.431 0.250 0.863
3 Li 0.813 0.750 0.627
4 Li 0.187 0.250 0.373

Values from the calculation:
energy relative to the elements: 0.1509 eV per atom
mass density: 4.6 g/cm³
E above lowest polymorph: 20.9 kJ/mol of formula units

=====

# 4
Material: Li24La5
Method: DFT, meta-GGA SCAN
State: PBEsol geometry

Unit cell a=9.487 b=9.487 c=9.487 alpha=109.47 beta=109.47 gamma=109.47
Sites, in units of the cell vectors:
1 La 0.304 0.304 0.304
2 La 0.000 0.696 0.000
3 La 0.000 0.000 0.696
4 La 0.696 0.000 0.000
5 La 0.000 0.000 0.000
6 Li 0.597 0.783 0.597
7 Li 0.814 0.217 0.814
8 Li 0.186 0.000 0.403
9 Li 0.403 0.000 0.186
10 Li 0.783 0.597 0.597
11 Li 0.217 0.814 0.814
12 Li 0.000 0.403 0.186
13 Li 0.000 0.186 0.403
14 Li 0.597 0.597 0.783
15 Li 0.814 0.814 0.217
16 Li 0.403 0.186 0.000
17 Li 0.186 0.403 0.000
18 Li 0.591 0.262 0.591
19 Li 0.328 0.738 0.328
20 Li 0.672 0.000 0.409
21 Li 0.409 0.000 0.672
22 Li 0.262 0.591 0.591
23 Li 0.738 0.328 0.328
24 Li 0.000 0.409 0.672
25 Li 0.000 0.672 0.409
26 Li 0.591 0.591 0.262
27 Li 0.328 0.328 0.738
28 Li 0.409 0.672 0.000
29 Li 0.672 0.409 0.000

Values from the calculation:
energy relative to the elements: 0.0675 eV per atom
mass density: 2.2 g/cm³

=====

# 5
Material: LiLa5
Method: DFT, meta-GGA SCAN
State: PBEsol geometry

Unit cell a=3.622 b=3.622 c=14.444 alpha=90.00 beta=90.00 gamma=90.00
Sites, in units of the cell vectors:
1 Li 0.500 0.500 0.000
2 La 0.000 0.000 0.847
3 La 0.000 0.000 0.153
4 La 0.500 0.500 0.678
5 La 0.500 0.500 0.322
6 La 0.000 0.000 0.500

Values from the calculation:
energy relative to the elements: 0.0258 eV per atom
mass density: 6.1 g/cm³
E above lowest polymorph: 0.0 kJ/mol of formula units

=====

# 6
Material: LiLa5
Method: DFT, meta-GGA SCAN
State: PBEsol geometry

Unit cell a=3.624 b=5.885 c=9.218 alpha=90.00 beta=101.34 gamma=90.00
Sites, in units of the cell vectors:
1 Li 0.119 0.500 0.238
2 La 0.995 0.000 0.990
3 La 0.321 0.000 0.642
4 La 0.655 0.000 0.311
5 La 0.459 0.500 0.919
6 La 0.783 0.500 0.566

Values from the calculation:
energy relative to the elements: 0.0652 eV per atom
mass density: 6.0 g/cm³
E above lowest polymorph: 22.8 kJ/mol of formula units

=====

# 7
Material: Li2La
Method: DFT, meta-GGA SCAN
State: PBEsol geometry

Unit cell a=3.362 b=5.241 c=8.707 alpha=90.00 beta=101.13 gamma=90.00
Sites, in units of the cell vectors:
1 Li 0.098 0.750 0.196
2 Li 0.454 0.750 0.907
3 Li 0.546 0.250 0.093
4 Li 0.902 0.250 0.804
5 La 0.781 0.750 0.562
6 La 0.219 0.250 0.438

Values from the calculation:
energy relative to the elements: 0.0812 eV per atom
mass density: 3.4 g/cm³
E above lowest polymorph: 0.0 kJ/mol of formula units

=====

# 8
Material: LiLa
Method: DFT, meta-GGA SCAN
State: PBEsol geometry

Unit cell a=3.483 b=3.483 c=11.141 alpha=81.01 beta=81.01 gamma=60.00
Sites, in units of the cell vectors:
1 Li 0.631 0.631 0.106
2 Li 0.369 0.369 0.894
3 La 0.121 0.121 0.636
4 La 0.879 0.879 0.364

Values from the calculation:
energy relative to the elements: 0.0744 eV per atom
mass density: 4.2 g/cm³
E above lowest polymorph: 6.1 kJ/mol of formula units

=====

# 9
Material: LiLa3
Method: DFT, meta-GGA SCAN
State: PBEsol geometry

Unit cell a=3.535 b=5.985 c=5.985 alpha=103.62 beta=90.00 gamma=90.00
Sites, in units of the cell vectors:
1 La 0.500 0.000 0.500
2 La 0.500 0.500 0.000
3 La 0.000 0.500 0.500
4 Li 0.000 0.000 0.000

Values from the calculation:
energy relative to the elements: 0.0836 eV per atom
mass density: 5.7 g/cm³
E above lowest polymorph: 16.0 kJ/mol of formula units

=====

# 10
Material: Li2La
Method: DFT, meta-GGA SCAN
State: PBEsol geometry

Unit cell a=3.351 b=3.351 c=8.090 alpha=90.00 beta=90.00 gamma=120.00
Sites, in units of the cell vectors:
1 Li 0.333 0.667 0.353
2 Li 0.667 0.333 0.647
3 La 0.000 0.000 0.000

Values from the calculation:
energy relative to the elements: 0.0868 eV per atom
mass density: 3.2 g/cm³
E above lowest polymorph: 1.6 kJ/mol of formula units

=====

# 11
Material: LiLa3
Method: DFT, meta-GGA SCAN
State: PBEsol geometry

Unit cell a=3.561 b=3.561 c=11.671 alpha=81.22 beta=81.22 gamma=60.00
Sites, in units of the cell vectors:
1 Li 0.000 0.000 0.000
2 La 0.749 0.749 0.753
3 La 0.500 0.500 0.500
4 La 0.251 0.251 0.247

Values from the calculation:
energy relative to the elements: 0.0606 eV per atom
mass density: 5.6 g/cm³
E above lowest polymorph: 7.2 kJ/mol of formula units

=====

# 12
Material: Li5La
Method: DFT, meta-GGA SCAN
State: PBEsol geometry

Unit cell a=5.741 b=5.741 c=5.741 alpha=60.00 beta=60.00 gamma=60.00
Sites, in units of the cell vectors:
1 La 0.000 0.000 0.000
2 Li 0.250 0.250 0.250
3 Li 0.623 0.131 0.623
4 Li 0.623 0.623 0.623
5 Li 0.131 0.623 0.623
6 Li 0.623 0.623 0.131

Values from the calculation:
energy relative to the elements: 0.0833 eV per atom
mass density: 2.2 g/cm³
E above lowest polymorph: 8.4 kJ/mol of formula units

=====

- Which of these has the lowest energy relative to the elements?
  number 5

=====

- The highest mass density belongs to which entry?
  La